(1)
A geometry-optimized Ba2TlPb structure, computed with PBE-GGA.

The structure in POSCAR format:
```
Ba2TlPb
1.0
2.156 1.245 10.798
-2.156 1.245 10.798
0.000 -2.489 10.798
Ba Tl Pb
2 1 1
Cartesian
0.000 0.000 8.045
0.000 0.000 24.350
0.000 0.000 0.000
0.000 0.000 16.197
```

Values from the calculation:
**Crystal system**: trigonal
**Volume**: 174 Å³/cell

---

(2)
A geometry-optimized SmZn6Ag2 structure, computed with PBE-GGA.

The structure in POSCAR format:
```
SmZn6Ag2
1.0
-2.004 3.366 6.214
2.004 -3.366 6.214
2.004 3.366 -6.214
Sm Zn Ag
1 6 2
Cartesian
0.000 0.000 0.000
2.004 1.344 -2.347
2.004 2.154 0.000
2.004 1.344 2.347
0.000 2.022 3.867
0.000 1.212 6.214
0.000 2.022 8.562
2.004 0.000 4.697
0.000 3.366 1.518
```

Values from the calculation:
**Crystal system**: orthorhombic
**Volume**: 168 Å³/cell

---

(3)
A geometry-optimized Ac3PrAu2 structure, computed with PBE-GGA.

The structure in POSCAR format:
```
Ac3PrAu2
1.0
4.090 0.000 0.000
0.000 10.664 0.000
0.000 0.000 9.614
Ac Pr Au
6 2 4
Cartesian
0.000 0.795 0.000
0.000 3.023 3.230
0.000 7.641 8.037
0.000 9.870 4.807
2.045 2.411 6.485
2.045 8.253 1.678
2.045 4.626 0.060
2.045 6.038 4.867
0.000 4.717 6.942
0.000 5.947 2.135
2.045 0.661 2.685
2.045 10.003 7.492
```

Values from the calculation:
**Crystal system**: orthorhombic
**Volume**: 419 Å³/cell

---

(4)
A geometry-optimized La4Pm15Dy structure, computed with PBE-GGA.

The structure in POSCAR format:
```
La4Pm15Dy
1.0
5.189 0.000 0.000
0.000 5.189 0.000
0.000 0.000 25.916
La Pm Dy
4 15 1
Cartesian
0.000 0.000 2.607
0.000 0.000 7.802
0.000 0.000 18.113
0.000 0.000 23.309
0.000 2.595 0.000
0.000 2.595 5.207
0.000 2.595 10.423
0.000 2.595 15.493
0.000 2.595 20.709
2.595 0.000 0.000
2.595 0.000 5.207
2.595 0.000 10.423
2.595 0.000 15.493
2.595 0.000 20.709
2.595 2.595 2.604
2.595 2.595 7.824
2.595 2.595 12.958
2.595 2.595 18.091
2.595 2.595 23.311
0.000 0.000 12.958
```

Values from the calculation:
**Crystal system**: tetragonal
**Volume**: 698 Å³/cell

---

(5)
A geometry-optimized YErPdPt structure, computed with PBE-GGA.

The structure in POSCAR format:
```
YErPdPt
1.0
0.000 3.491 3.491
3.491 0.000 3.491
3.491 3.491 0.000
Y Er Pd Pt
1 1 1 1
Cartesian
0.000 0.000 0.000
3.491 3.491 3.491
1.745 1.745 1.745
5.236 5.236 5.236
```

Values from the calculation:
**Crystal system**: cubic
**Volume**: 85 Å³/cell

---

(6)
A geometry-optimized RbSnOs3 structure, computed with PBE-GGA.

The structure in POSCAR format:
```
RbSnOs3
1.0
5.057 0.000 0.000
0.000 5.057 0.000
0.000 0.000 5.057
Rb Sn Os
1 1 3
Cartesian
0.000 0.000 0.000
2.528 2.528 2.528
0.000 2.528 2.528
2.528 0.000 2.528
2.528 2.528 0.000
```

Values from the calculation:
**Crystal system**: cubic
**Volume**: 129 Å³/cell

---

Number 1: energy relative to the elements -0.2622 eV per atom. Number 2: energy relative to the elements -0.1028 eV per atom. Number 3: energy relative to the elements -0.5127 eV per atom. Number 4: energy relative to the elements 0.0183 eV per atom. Number 5: energy relative to the elements -1.0796 eV per atom. Number 6: energy relative to the elements 2.4838 eV per atom.